Entry 1:
# Nd4Y2Er3 PBE relaxed
# Calculated formation energy: 0.09 eV per atom
# DOS at the Fermi energy: 12.2 states/eV/f.u.
# DFT total energy: -89.8 eV for the cell shown
# Spin magnetization: 0.00 μB per cell
# Offset from the most stable computed form: 0.000 eV/atom
data_Nd4Y2Er3
_symmetry_space_group_name_H-M 'P 1'
_symmetry_Int_Tables_number 1
_cell_length_a 10.078
_cell_length_b 10.078
_cell_length_c 6.197
_cell_angle_alpha 95.03
_cell_angle_beta 95.03
_cell_angle_gamma 71.24
loop_
_symmetry_equiv_pos_as_xyz
'x,y,z'
loop_
_atom_site_label
_atom_site_type_symbol
_atom_site_fract_x
_atom_site_fract_y
_atom_site_fract_z
Nd1 Nd 0.095 0.812 0.986
Nd2 Nd 0.141 0.432 0.155
Nd3 Nd 0.188 0.905 0.514
Nd4 Nd 0.432 0.141 0.655
Nd5 Nd 0.568 0.859 0.345
Nd6 Nd 0.812 0.095 0.486
Nd7 Nd 0.859 0.568 0.845
Nd8 Nd 0.905 0.188 0.014
Y1 Y 0.246 0.518 0.683
Y2 Y 0.482 0.754 0.817
Y3 Y 0.518 0.246 0.183
Y4 Y 0.754 0.482 0.317
Er1 Er 0.070 0.265 0.576
Er2 Er 0.265 0.070 0.076
Er3 Er 0.400 0.600 0.250
Er4 Er 0.600 0.400 0.750
Er5 Er 0.735 0.930 0.924
Er6 Er 0.930 0.735 0.424

Entry 2:
# Nd3Y3Er4 PBE relaxed
# Calculated formation energy: 0.08 eV per atom
# DOS at the Fermi energy: 7.8 states/eV/f.u.
# DFT total energy: -51.1 eV for the cell shown
# Spin magnetization: 0.00 μB per cell
data_Nd3Y3Er4
_symmetry_space_group_name_H-M 'P 1'
_symmetry_Int_Tables_number 1
_cell_length_a 3.686
_cell_length_b 9.456
_cell_length_c 9.456
_cell_angle_alpha 89.71
_cell_angle_beta 90.00
_cell_angle_gamma 90.00
loop_
_symmetry_equiv_pos_as_xyz
'x,y,z'
loop_
_atom_site_label
_atom_site_type_symbol
_atom_site_fract_x
_atom_site_fract_y
_atom_site_fract_z
Nd1 Nd 0.000 0.000 0.000
Nd2 Nd 0.000 0.499 0.847
Nd3 Nd 0.000 0.847 0.499
Y1 Y 0.000 0.347 0.347
Y2 Y 0.500 0.175 0.668
Y3 Y 0.500 0.668 0.175
Er1 Er 0.500 0.050 0.299
Er2 Er 0.500 0.299 0.050
Er3 Er 0.500 0.548 0.548
Er4 Er 0.500 0.798 0.798

> Look up the DOS at the Fermi energy of the second one.

7.8 states/eV/f.u.

> The lowest DFT total energy belongs to which entry?

Nd4Y2Er3

> What is the DOS at the Fermi energy in the first record?

12.2 states/eV/f.u.

> Among the records above, which one has the lowest calculated formation energy?

Nd3Y3Er4